# 1
# Sc4Pa PBE relaxed
# V	27.905	Å³ per atom
# electronic total energy	-6.04	eV/atom
# distance to the lowest polymorph of the same formula	908	meV per atom
data_Sc4Pa
_chemical_formula_sum 'Sc4 Pa1'
_space_group_name_H-M_alt 'P m -3 m'
_space_group_IT_number 221
_space_group_name_Hall '-P 4 2 3'
_cell_length_a 5.1866
_cell_length_b 5.1866
_cell_length_c 5.1866
_cell_angle_alpha 90.00
_cell_angle_beta 90.00
_cell_angle_gamma 90.00
loop_
_atom_site_label
_atom_site_type_symbol
_atom_site_fract_x
_atom_site_fract_y
_atom_site_fract_z
_atom_site_occupancy
Sc1 Sc 0.0000 0.0000 0.0000 1
Sc2 Sc 0.0000 0.5000 0.5000 1
Pa1 Pa 0.5000 0.5000 0.5000 1

# 2
# TiP2IrCl PBE relaxed
# V	20.520	Å³ per atom
# electronic total energy	-5.31	eV/atom
# distance to the lowest polymorph of the same formula	0	meV per atom
data_TiP2IrCl
_chemical_formula_sum 'Ti1 P2 Ir1 Cl1'
_space_group_name_H-M_alt 'P 4/m m m'
_space_group_IT_number 123
_space_group_name_Hall '-P 4 2'
_cell_length_a 4.5635
_cell_length_b 4.5635
_cell_length_c 4.9267
_cell_angle_alpha 90.00
_cell_angle_beta 90.00
_cell_angle_gamma 90.00
loop_
_atom_site_label
_atom_site_type_symbol
_atom_site_fract_x
_atom_site_fract_y
_atom_site_fract_z
_atom_site_occupancy
Ti1 Ti 0.0000 0.0000 0.0000 1
P1 P 0.0000 0.5000 0.5000 1
Ir1 Ir 0.5000 0.5000 0.5000 1
Cl1 Cl 0.5000 0.5000 0.0000 1

# 3
# PaAgS2O8 PBE relaxed
# V	17.082	Å³ per atom
# electronic total energy	-6.56	eV/atom
data_PaAgS2O8
_chemical_formula_sum 'Pa1 Ag1 S2 O8'
_space_group_name_H-M_alt 'P -3 m 1'
_space_group_IT_number 164
_space_group_name_Hall '-P 3 2"'
_cell_length_a 5.8961
_cell_length_b 5.8961
_cell_length_c 6.8085
_cell_angle_alpha 90.00
_cell_angle_beta 90.00
_cell_angle_gamma 120.00
loop_
_atom_site_label
_atom_site_type_symbol
_atom_site_fract_x
_atom_site_fract_y
_atom_site_fract_z
_atom_site_occupancy
Pa1 Pa 0.0000 0.0000 0.0000 1
Ag1 Ag 0.0000 0.0000 0.5000 1
S1 S 0.3333 0.6667 0.7552 1
O1 O 0.1967 0.3935 0.8401 1
O2 O 0.3333 0.6667 0.5449 1

Among the records above, which one has the highest V?
Sc4Pa

What did the second record say?
# TiP2IrCl PBE relaxed
# V	20.520	Å³ per atom
# electronic total energy	-5.31	eV/atom
# distance to the lowest polymorph of the same formula	0	meV per atom
data_TiP2IrCl
_chemical_formula_sum 'Ti1 P2 Ir1 Cl1'
_space_group_name_H-M_alt 'P 4/m m m'
_space_group_IT_number 123
_space_group_name_Hall '-P 4 2'
_cell_length_a 4.5635
_cell_length_b 4.5635
_cell_length_c 4.9267
_cell_angle_alpha 90.00
_cell_angle_beta 90.00
_cell_angle_gamma 90.00
loop_
_atom_site_label
_atom_site_type_symbol
_atom_site_fract_x
_atom_site_fract_y
_atom_site_fract_z
_atom_site_occupancy
Ti1 Ti 0.0000 0.0000 0.0000 1
P1 P 0.0000 0.5000 0.5000 1
Ir1 Ir 0.5000 0.5000 0.5000 1
Cl1 Cl 0.5000 0.5000 0.0000 1

What did the third record say?
# PaAgS2O8 PBE relaxed
# V	17.082	Å³ per atom
# electronic total energy	-6.56	eV/atom
data_PaAgS2O8
_chemical_formula_sum 'Pa1 Ag1 S2 O8'
_space_group_name_H-M_alt 'P -3 m 1'
_space_group_IT_number 164
_space_group_name_Hall '-P 3 2"'
_cell_length_a 5.8961
_cell_length_b 5.8961
_cell_length_c 6.8085
_cell_angle_alpha 90.00
_cell_angle_beta 90.00
_cell_angle_gamma 120.00
loop_
_atom_site_label
_atom_site_type_symbol
_atom_site_fract_x
_atom_site_fract_y
_atom_site_fract_z
_atom_site_occupancy
Pa1 Pa 0.0000 0.0000 0.0000 1
Ag1 Ag 0.0000 0.0000 0.5000 1
S1 S 0.3333 0.6667 0.7552 1
O1 O 0.1967 0.3935 0.8401 1
O2 O 0.3333 0.6667 0.5449 1